Record 1
VASP calculation (PBE-GGA) on a geometry-optimized Na3Ga2Au structure.

Computed properties:
Fermi-level density of states = 2.38 states/eV/f.u.
DFT total energy = -2.327 eV per atom
Calculated formation energy = -112 meV/atom
Crystal system = orthorhombic

Geometry as CIF:
```
data_Na3Ga2Au
_space_group_name_H-M_alt 'I b a m'
_space_group_IT_number 72
_space_group_name_Hall '-I 2 2c'
_cell_length_a 8.234
_cell_length_b 12.363
_cell_length_c 6.637
_cell_angle_alpha 90.00
_cell_angle_beta 90.00
_cell_angle_gamma 90.00
loop_
_atom_site_label
_atom_site_type_symbol
_atom_site_fract_x
_atom_site_fract_y
_atom_site_fract_z
Na1 Na 0.000 0.000 0.250
Na2 Na 0.163 0.316 0.000
Ga1 Ga 0.204 0.412 0.500
Au1 Au 0.000 0.500 0.250
```



Record 2
VASP calculation (PBE-GGA) on a geometry-optimized Cs2RbBaCl structure.

Computed properties:
Fermi-level density of states = 3.11 states/eV/f.u.
DFT total energy = -1.950 eV per atom
Formation energy from raw total energies = -15.26 kcal/mol of atoms
Crystal system = tetragonal

Geometry as CIF:
```
data_Cs2RbBaCl
_space_group_name_H-M_alt 'P 4/m m m'
_space_group_IT_number 123
_space_group_name_Hall '-P 4 2'
_cell_length_a 7.576
_cell_length_b 7.576
_cell_length_c 6.214
_cell_angle_alpha 90.00
_cell_angle_beta 90.00
_cell_angle_gamma 90.00
loop_
_atom_site_label
_atom_site_type_symbol
_atom_site_fract_x
_atom_site_fract_y
_atom_site_fract_z
Cs1 Cs 0.000 0.500 0.000
Rb1 Rb 0.000 0.000 0.500
Ba1 Ba 0.500 0.500 0.500
Cl1 Cl 0.500 0.500 0.000
```



Record 3
VASP calculation (PBE-GGA) on a geometry-optimized RbNp6Se8 structure.

Computed properties:
Fermi-level density of states = 19.36 states/eV/f.u.
DFT total energy = -7.883 eV per atom
Formation energy from raw total energies = -18.08 kcal/mol of atoms
Crystal system = trigonal

Geometry as CIF:
```
data_RbNp6Se8
_space_group_name_H-M_alt 'P -3'
_space_group_IT_number 147
_cell_length_a 10.6522
_cell_length_b 10.6522
_cell_length_c 3.5435
_cell_angle_alpha 90.00
_cell_angle_beta 90.00
_cell_angle_gamma 120.00
loop_
_space_group_symop_operation_xyz
'x,y,z'
'-x,-y,-z'
'-y,x-y,z'
'y,-x+y,-z'
'-x+y,-x,z'
'x-y,x,-z'
loop_
_atom_site_label
_atom_site_type_symbol
_atom_site_fract_x
_atom_site_fract_y
_atom_site_fract_z
Rb1 Rb 0.0000 0.0000 0.0000
Np1 Np 0.0746 0.4913 0.2497
Se1 Se 0.0997 0.7632 0.2592
Se2 Se 0.3333 0.6667 0.7518
```



Record 4
VASP calculation (PBE-GGA) on a geometry-optimized ErLu2Sc structure.

Computed properties:
Fermi-level density of states = 6.85 states/eV/f.u.
DFT total energy = -4.936 eV per atom
Calculated formation energy = 48 meV/atom
Crystal system = trigonal

Geometry as CIF:
```
data_ErLu2Sc
_space_group_name_H-M_alt 'R -3 m'
_space_group_IT_number 166
_space_group_name_Hall '-R 3 2"'
_cell_length_a 3.4318
_cell_length_b 3.4318
_cell_length_c 33.3862
_cell_angle_alpha 90.00
_cell_angle_beta 90.00
_cell_angle_gamma 120.00
loop_
_atom_site_label
_atom_site_type_symbol
_atom_site_fract_x
_atom_site_fract_y
_atom_site_fract_z
Er1 Er 0.0000 0.0000 0.0000
Lu1 Lu 0.0000 0.0000 0.2474
Sc1 Sc 0.0000 0.0000 0.5000
```



Record 5
VASP calculation (PBE-GGA) on a geometry-optimized YMgOs2 structure.

Computed properties:
Fermi-level density of states = 4.99 states/eV/f.u.
DFT total energy = -7.175 eV per atom
Calculated formation energy = 455 meV/atom
Crystal system = trigonal

Geometry as CIF:
```
data_YMgOs2
_space_group_name_H-M_alt 'R 3 m'
_space_group_IT_number 160
_space_group_name_Hall 'R 3 -2"'
_cell_length_a 2.9342
_cell_length_b 2.9342
_cell_length_c 29.7153
_cell_angle_alpha 90.00
_cell_angle_beta 90.00
_cell_angle_gamma 120.00
loop_
_atom_site_label
_atom_site_type_symbol
_atom_site_fract_x
_atom_site_fract_y
_atom_site_fract_z
Y1 Y 0.0000 0.0000 0.0000
Mg1 Mg 0.0000 0.0000 0.7701
Os1 Os 0.0000 0.0000 0.2464
Os2 Os 0.0000 0.0000 0.5129
```



Record 6
VASP calculation (PBE-GGA) on a geometry-optimized CoSb2Pb structure.

Computed properties:
Fermi-level density of states = 2.97 states/eV/f.u.
DFT total energy = -4.531 eV per atom
Formation energy from raw total energies = 5.40 kcal/mol of atoms
Crystal system = trigonal

Geometry as CIF:
```
data_CoSb2Pb
_space_group_name_H-M_alt 'R 3 m'
_space_group_IT_number 160
_space_group_name_Hall 'R 3 -2"'
_cell_length_a 3.5286
_cell_length_b 3.5286
_cell_length_c 26.5608
_cell_angle_alpha 90.00
_cell_angle_beta 90.00
_cell_angle_gamma 120.00
loop_
_atom_site_label
_atom_site_type_symbol
_atom_site_fract_x
_atom_site_fract_y
_atom_site_fract_z
Co1 Co 0.0000 0.0000 0.0000
Sb1 Sb 0.0000 0.0000 0.2795
Sb2 Sb 0.0000 0.0000 0.5062
Pb1 Pb 0.0000 0.0000 0.7371
```



Record 7
VASP calculation (PBE-GGA) on a geometry-optimized Ca2InSnPd6 structure.

Computed properties:
Fermi-level density of states = 5.05 states/eV/f.u.
DFT total energy = -4.298 eV per atom
Calculated formation energy = -108 meV/atom
Crystal system = cubic

Geometry as CIF:
```
data_Ca2InSnPd6
_space_group_name_H-M_alt 'F m -3 m'
_space_group_IT_number 225
_space_group_name_Hall '-F 4 2 3'
_cell_length_a 9.972
_cell_length_b 9.972
_cell_length_c 9.972
_cell_angle_alpha 90.00
_cell_angle_beta 90.00
_cell_angle_gamma 90.00
loop_
_atom_site_label
_atom_site_type_symbol
_atom_site_fract_x
_atom_site_fract_y
_atom_site_fract_z
Ca1 Ca 0.250 0.250 0.250
In1 In 0.000 0.000 0.000
Sn1 Sn 0.000 0.000 0.500
Pd1 Pd 0.000 0.000 0.251
```



Record 8
VASP calculation (PBE-GGA) on a geometry-optimized Li12La structure.

Computed properties:
Fermi-level density of states = 8.87 states/eV/f.u.
DFT total energy = -2.087 eV per atom
Calculated formation energy = 58 meV/atom
Crystal system = tetragonal

Geometry as CIF:
```
data_Li12La
_space_group_name_H-M_alt 'I 4/m m m'
_space_group_IT_number 139
_space_group_name_Hall '-I 4 2'
_cell_length_a 10.002
_cell_length_b 10.002
_cell_length_c 5.707
_cell_angle_alpha 90.00
_cell_angle_beta 90.00
_cell_angle_gamma 90.00
loop_
_atom_site_label
_atom_site_type_symbol
_atom_site_fract_x
_atom_site_fract_y
_atom_site_fract_z
Li1 Li 0.000 0.219 0.000
Li2 Li 0.000 0.358 0.500
Li3 Li 0.250 0.250 0.250
La1 La 0.000 0.000 0.500
```



Record 9
VASP calculation (PBE-GGA) on a geometry-optimized Er2AlFe3 structure.

Computed properties:
Fermi-level density of states = 6.04 states/eV/f.u.
DFT total energy = -6.601 eV per atom
Calculated formation energy = -225 meV/atom
Crystal system = hexagonal

Geometry as CIF:
```
data_Er2AlFe3
_space_group_name_H-M_alt 'P 63/m m c'
_space_group_IT_number 194
_space_group_name_Hall '-P 6c 2c'
_cell_length_a 5.1982
_cell_length_b 5.1982
_cell_length_c 8.3651
_cell_angle_alpha 90.00
_cell_angle_beta 90.00
_cell_angle_gamma 120.00
loop_
_atom_site_label
_atom_site_type_symbol
_atom_site_fract_x
_atom_site_fract_y
_atom_site_fract_z
Er1 Er 0.3333 0.6667 0.0660
Al1 Al 0.0000 0.0000 0.0000
Fe1 Fe 0.1734 0.3469 0.7500
```



Among the records above, which one has the lowest Fermi-level density of states?
Na3Ga2Au



Copy entry 9 word for word.
VASP calculation (PBE-GGA) on a geometry-optimized Er2AlFe3 structure.

Computed properties:
Fermi-level density of states = 6.04 states/eV/f.u.
DFT total energy = -6.601 eV per atom
Calculated formation energy = -225 meV/atom
Crystal system = hexagonal

Geometry as CIF:
```
data_Er2AlFe3
_space_group_name_H-M_alt 'P 63/m m c'
_space_group_IT_number 194
_space_group_name_Hall '-P 6c 2c'
_cell_length_a 5.1982
_cell_length_b 5.1982
_cell_length_c 8.3651
_cell_angle_alpha 90.00
_cell_angle_beta 90.00
_cell_angle_gamma 120.00
loop_
_atom_site_label
_atom_site_type_symbol
_atom_site_fract_x
_atom_site_fract_y
_atom_site_fract_z
Er1 Er 0.3333 0.6667 0.0660
Al1 Al 0.0000 0.0000 0.0000
Fe1 Fe 0.1734 0.3469 0.7500
```